An optimized crystal structure of KS. Source: the Alexandria database, functional PBEsol. Values from VASP.

The structure in Quantum ESPRESSO input format:
```
&SYSTEM
  ibrav = 0, nat = 12, ntyp = 2
/
ATOMIC_SPECIES
K 39.10 K.upf
S 32.06 S.upf
ATOMIC_POSITIONS crystal
K 0.0000 0.6908 0.6908
K 0.5000 0.6439 0.0000
K 0.0000 0.0000 0.3092
K 0.5000 0.3561 0.3561
K 0.0000 0.3092 0.0000
K 0.5000 0.0000 0.6439
S 0.8133 0.6667 0.3333
S 0.3145 0.0000 0.0000
S 0.1867 0.6667 0.3333
S 0.6855 0.0000 0.0000
S 0.1867 0.3333 0.6667
S 0.8133 0.3333 0.6667
CELL_PARAMETERS angstrom
-1.8722 -4.5543 -2.8825
6.5668 -4.4957 2.8380
-7.2121 0.1812 4.3979
```

Summary:
Formation energy without anion corrections ... -0.945 eV per atom